(1)
# PBE-GGA Li2TcMoN4, relaxed
# Theoretical density, g/cm3: 4.4
# Energy relative to the elements, uncorrected, eV per atom: -0.332
# DFT total energy, eV/f.u.: -61.0
data_Li2TcMoN4
_chemical_formula_sum 'Li4 Tc2 Mo2 N8'
_cell_length_a 6.632
_cell_length_b 5.783
_cell_length_c 5.159
_cell_angle_alpha 90.00
_cell_angle_beta 90.00
_cell_angle_gamma 90.00
_symmetry_space_group_name_H-M 'P m n 21'
_symmetry_Int_Tables_number 31
_symmetry_space_group_name_Hall 'P 2ac -2'
loop_
_atom_site_label
_atom_site_type_symbol
_atom_site_fract_x
_atom_site_fract_y
_atom_site_fract_z
Li1 Li 0.247 0.154 0.000
Tc1 Tc 0.000 0.657 0.005
Mo1 Mo 0.000 0.353 0.494
N1 N 0.000 0.353 0.864
N2 N 0.000 0.667 0.375
N3 N 0.249 0.798 0.917

(2)
# PBE-GGA Li3Tc2MoN6, relaxed
# Theoretical density, g/cm3: 5.6
# Energy relative to the elements, uncorrected, eV per atom: -0.289
# DFT total energy, eV/f.u.: -90.7
data_Li3Tc2MoN6
_chemical_formula_sum 'Li6 Tc4 Mo2 N12'
_cell_length_a 5.057
_cell_length_b 8.814
_cell_length_c 5.493
_cell_angle_alpha 90.00
_cell_angle_beta 107.55
_cell_angle_gamma 90.00
_symmetry_space_group_name_H-M 'C 1 2/m 1'
_symmetry_Int_Tables_number 12
_symmetry_space_group_name_Hall '-C 2y'
loop_
_atom_site_label
_atom_site_type_symbol
_atom_site_fract_x
_atom_site_fract_y
_atom_site_fract_z
Li1 Li 0.000 0.000 0.000
Li2 Li 0.000 0.329 0.000
Tc1 Tc 0.000 0.145 0.500
Mo1 Mo 0.000 0.500 0.500
N1 N 0.244 0.333 0.721
N2 N 0.250 0.000 0.752

(3)
# PBE-GGA Li3TcMo2N6, relaxed
# Theoretical density, g/cm3: 5.6
# Energy relative to the elements, uncorrected, eV per atom: -0.357
# DFT total energy, eV/f.u.: -92.0
data_Li3TcMo2N6
_chemical_formula_sum 'Li6 Tc2 Mo4 N12'
_cell_length_a 5.078
_cell_length_b 8.800
_cell_length_c 5.495
_cell_angle_alpha 90.00
_cell_angle_beta 107.98
_cell_angle_gamma 90.00
_symmetry_space_group_name_H-M 'C 1 2/m 1'
_symmetry_Int_Tables_number 12
_symmetry_space_group_name_Hall '-C 2y'
loop_
_atom_site_label
_atom_site_type_symbol
_atom_site_fract_x
_atom_site_fract_y
_atom_site_fract_z
Li1 Li 0.000 0.000 0.000
Li2 Li 0.000 0.333 0.000
Tc1 Tc 0.000 0.500 0.500
Mo1 Mo 0.000 0.166 0.500
N1 N 0.241 0.000 0.733
N2 N 0.246 0.332 0.733

(4)
# PBE-GGA LiTe2MoN, relaxed
# E above lowest polymorph, meV/atom: 1051
# Theoretical density, g/cm3: 6.8
# Energy relative to the elements, uncorrected, eV per atom: 1.068
# DFT total energy, eV/f.u.: -22.0
data_LiTe2MoN
_chemical_formula_sum 'Li1 Te2 Mo1 N1'
_cell_length_a 5.105
_cell_length_b 5.105
_cell_length_c 3.478
_cell_angle_alpha 90.00
_cell_angle_beta 90.00
_cell_angle_gamma 90.00
_symmetry_space_group_name_H-M 'P 4/m m m'
_symmetry_Int_Tables_number 123
_symmetry_space_group_name_Hall '-P 4 2'
loop_
_atom_site_label
_atom_site_type_symbol
_atom_site_fract_x
_atom_site_fract_y
_atom_site_fract_z
Li1 Li 0.000 0.000 0.000
Te1 Te 0.000 0.500 0.000
Mo1 Mo 0.500 0.500 0.500
N1 N 0.000 0.000 0.500

(5)
# PBE-GGA LiTe2MoN, relaxed
# E above lowest polymorph, meV/atom: 0
# Theoretical density, g/cm3: 5.3
# Energy relative to the elements, uncorrected, eV per atom: 0.017
# DFT total energy, eV/f.u.: -27.3
data_LiTe2MoN
_chemical_formula_sum 'Li1 Te2 Mo1 N1'
_cell_length_a 5.508
_cell_length_b 5.508
_cell_length_c 3.812
_cell_angle_alpha 90.00
_cell_angle_beta 90.00
_cell_angle_gamma 90.00
_symmetry_space_group_name_H-M 'P 4/m m m'
_symmetry_Int_Tables_number 123
_symmetry_space_group_name_Hall '-P 4 2'
loop_
_atom_site_label
_atom_site_type_symbol
_atom_site_fract_x
_atom_site_fract_y
_atom_site_fract_z
Li1 Li 0.000 0.000 0.000
Te1 Te 0.000 0.500 0.500
Mo1 Mo 0.500 0.500 0.500
N1 N 0.500 0.500 0.000

(6)
# PBE-GGA LiTh2MoN5, relaxed
# Theoretical density, g/cm3: 8.9
# Energy relative to the elements, uncorrected, eV per atom: -0.934
# DFT total energy, eV/f.u.: -77.6
data_LiTh2MoN5
_chemical_formula_sum 'Li4 Th8 Mo4 N20'
_cell_length_a 3.342
_cell_length_b 13.698
_cell_length_c 10.384
_cell_angle_alpha 90.00
_cell_angle_beta 90.00
_cell_angle_gamma 90.00
_symmetry_space_group_name_H-M 'C m c 21'
_symmetry_Int_Tables_number 36
_symmetry_space_group_name_Hall 'C 2c -2'
loop_
_atom_site_label
_atom_site_type_symbol
_atom_site_fract_x
_atom_site_fract_y
_atom_site_fract_z
Li1 Li 0.000 0.042 0.000
Th1 Th 0.000 0.369 0.853
Th2 Th 0.000 0.396 0.216
Mo1 Mo 0.000 0.304 0.557
N1 N 0.000 0.000 0.313
N2 N 0.000 0.137 0.546
N3 N 0.000 0.197 0.950
N4 N 0.000 0.219 0.216
N5 N 0.000 0.432 0.603

(7)
# PBE-GGA LiThMo2N6, relaxed
# Theoretical density, g/cm3: 5.6
# Energy relative to the elements, uncorrected, eV per atom: -0.491
# DFT total energy, eV/f.u.: -85.9
data_LiThMo2N6
_chemical_formula_sum 'Li4 Th4 Mo8 N24'
_cell_length_a 9.751
_cell_length_b 10.654
_cell_length_c 6.451
_cell_angle_alpha 90.00
_cell_angle_beta 115.39
_cell_angle_gamma 90.00
_symmetry_space_group_name_H-M 'C 1 2/c 1'
_symmetry_Int_Tables_number 15
_symmetry_space_group_name_Hall '-C 2yc'
loop_
_atom_site_label
_atom_site_type_symbol
_atom_site_fract_x
_atom_site_fract_y
_atom_site_fract_z
Li1 Li 0.000 0.213 0.250
Th1 Th 0.000 0.104 0.750
Mo1 Mo 0.165 0.420 0.701
N1 N 0.113 0.261 0.605
N2 N 0.124 0.074 0.162
N3 N 0.125 0.454 0.964

(8)
# PBE-GGA Li3Th2MoN6, relaxed
# Theoretical density, g/cm3: 7.0
# Energy relative to the elements, uncorrected, eV per atom: -0.749
# DFT total energy, eV/f.u.: -90.3
data_Li3Th2MoN6
_chemical_formula_sum 'Li6 Th4 Mo2 N12'
_cell_length_a 5.856
_cell_length_b 10.561
_cell_length_c 5.351
_cell_angle_alpha 90.00
_cell_angle_beta 107.76
_cell_angle_gamma 90.00
_symmetry_space_group_name_H-M 'C 1 2/m 1'
_symmetry_Int_Tables_number 12
_symmetry_space_group_name_Hall '-C 2y'
loop_
_atom_site_label
_atom_site_type_symbol
_atom_site_fract_x
_atom_site_fract_y
_atom_site_fract_z
Li1 Li 0.000 0.000 0.000
Li2 Li 0.000 0.382 0.000
Th1 Th 0.000 0.168 0.500
Mo1 Mo 0.000 0.500 0.500
N1 N 0.208 0.357 0.720
N2 N 0.244 0.500 0.281